PuIn2FeO6: relaxed, PBE with a Hubbard U.

Calculated values
The density of states at the Fermi level is 8.61 states/eV per cell. The total DFT energy (no corrections) is -7.39 eV per atom. The crystal system is triclinic.

```
data_PuIn2FeO6
_symmetry_space_group_name_H-M 'P 1'
_symmetry_Int_Tables_number 1
_cell_length_a 5.5610
_cell_length_b 5.6104
_cell_length_c 5.8959
_cell_angle_alpha 90.99
_cell_angle_beta 117.24
_cell_angle_gamma 119.65
loop_
_symmetry_equiv_pos_as_xyz
'x,y,z'
loop_
_atom_site_label
_atom_site_fract_x
_atom_site_fract_y
_atom_site_fract_z
Pu1 0.0000 0.0000 0.0000
In1 0.4175 0.7075 0.1276
In2 0.4223 0.2087 0.6298
Fe1 0.0042 0.5034 0.4984
O1 0.1970 0.4045 0.3079
O2 0.2077 0.3063 0.8056
O3 0.4986 0.9008 0.8022
O4 0.5011 0.1040 0.3018
O5 0.9038 0.8013 0.3041
O6 0.9047 0.5945 0.7941
```